RbHfZnSe3: relaxed, PBE. Values from VASP.

Calculated values
* DFT total energy: -4.789 eV/atom

Structure (Quantum ESPRESSO input):
```
&SYSTEM
  ibrav = 0, nat = 12, ntyp = 4
/
ATOMIC_SPECIES
Se 78.96 Se.upf
Rb 85.47 Rb.upf
Hf 178.49 Hf.upf
Zn 65.41 Zn.upf
CELL_PARAMETERS angstrom
1.960 -7.807 0.000
1.960 7.807 0.000
0.000 0.000 10.425
ATOMIC_POSITIONS crystal
Se 0.436 0.564 0.750
Se 0.881 0.119 0.051
Se 0.881 0.119 0.449
Se 0.119 0.881 0.551
Se 0.119 0.881 0.949
Se 0.564 0.436 0.250
Rb 0.250 0.750 0.250
Rb 0.750 0.250 0.750
Hf 0.500 0.500 0.000
Hf 0.500 0.500 0.500
Zn 0.964 0.036 0.250
Zn 0.036 0.964 0.750
```